This record from Alexandria describes Tb8Nd4Er3 after structural relaxation. The functional is GGA-PBE.

The structure belongs to space group C2/m (No. 12); the cell edges are 13.460, 12.826 and 6.782 Å and the angles 90.00°, 120.02° and 90.00°. The inequivalent atoms are Tb at (0.000, 0.139, 0.000), Tb at (0.000, 0.244, 0.500), Tb at (0.228, 0.000, 0.457), Tb at (0.234, 0.000, 0.985), Nd at (0.000, 0.500, 0.000), Nd at (0.000, 0.500, 0.500), Nd at (0.250, 0.250, 0.500), Er at (0.000, 0.000, 0.500) and Er at (0.250, 0.250, 0.000).

For the final energy, the calculation gives -4.290 eV per atom. The volume is 1014 Å³/cell.